1.
This record from Alexandria describes crystalline CeEr5Tm4 at its relaxed geometry. The functional is PBE.

Geometry as CIF:
```
data_CeEr5Tm4
_cell_length_a 17.488
_cell_length_b 4.959
_cell_length_c 8.489
_cell_angle_alpha 90.00
_cell_angle_beta 117.85
_cell_angle_gamma 90.00
_symmetry_space_group_name_H-M 'C 1 2/m 1'
_symmetry_Int_Tables_number 12
loop_
_symmetry_equiv_pos_as_xyz
'x,y,z'
'-x,-y,-z'
'-x,y,-z'
'x,-y,z'
'x+1/2,y+1/2,z'
'-x+1/2,-y+1/2,-z'
'-x+1/2,y+1/2,-z'
'x+1/2,-y+1/2,z'
loop_
_atom_site_label
_atom_site_type_symbol
_atom_site_fract_x
_atom_site_fract_y
_atom_site_fract_z
Ce1 Ce 0.000 0.000 0.000
Er1 Er 0.000 0.000 0.500
Er2 Er 0.164 0.500 0.709
Er3 Er 0.173 0.500 0.120
Tm1 Tm 0.032 0.500 0.276
Tm2 Tm 0.177 0.000 0.424
```

Output
Its calculated formation energy is 0.26 eV/atom. The excess energy over the best structure of this formula in the dataset is 0 meV per atom. For the total energy, the calculation gives -88.1 eV/cell. For the magnetization, the calculation gives 1.5 μB per formula unit.

=====

2.
This record from Alexandria describes crystalline CaTl2Se at its relaxed geometry. The functional is PBE.

Geometry as CIF:
```
data_CaTl2Se
_cell_length_a 8.874
_cell_length_b 8.874
_cell_length_c 6.148
_cell_angle_alpha 90.00
_cell_angle_beta 90.00
_cell_angle_gamma 90.00
_symmetry_space_group_name_H-M 'I -4 2 d'
_symmetry_Int_Tables_number 122
_symmetry_space_group_name_Hall 'I -4 2bw'
loop_
_atom_site_label
_atom_site_type_symbol
_atom_site_fract_x
_atom_site_fract_y
_atom_site_fract_z
Ca1 Ca 0.000 0.000 0.000
Tl1 Tl 0.222 0.250 0.625
Se1 Se 0.000 0.000 0.500
```

Output
The value obtained for the energy relative to the elements, uncorrected is -0.483 eV/atom. For the total energy, the calculation gives -48.6 eV/cell. For the magnetization, the calculation gives 0.0 μB per formula unit.

=====

3.
This record from Alexandria describes crystalline Ac2MgGa2 at its relaxed geometry. The functional is PBE.

Geometry as CIF:
```
data_Ac2MgGa2
_cell_length_a 7.893
_cell_length_b 7.893
_cell_length_c 4.772
_cell_angle_alpha 90.00
_cell_angle_beta 90.00
_cell_angle_gamma 90.00
_symmetry_space_group_name_H-M 'P 4/m b m'
_symmetry_Int_Tables_number 127
_symmetry_space_group_name_Hall '-P 4 2ab'
loop_
_atom_site_label
_atom_site_type_symbol
_atom_site_fract_x
_atom_site_fract_y
_atom_site_fract_z
Ac1 Ac 0.176 0.324 0.000
Mg1 Mg 0.000 0.000 0.500
Ga1 Ga 0.122 0.622 0.500
```

Output
Its calculated formation energy is -0.42 eV/atom. The excess energy over the best structure of this formula in the dataset is 0 meV per atom. For the total energy, the calculation gives -35.9 eV/cell. For the magnetization, the calculation gives 0.0 μB per formula unit.

=====

4.
This record from Alexandria describes crystalline Sm2LuCd at its relaxed geometry. The functional is PBE.

Geometry as CIF:
```
data_Sm2LuCd
_cell_length_a 3.4734
_cell_length_b 3.4734
_cell_length_c 36.6257
_cell_angle_alpha 90.00
_cell_angle_beta 90.00
_cell_angle_gamma 120.00
_symmetry_space_group_name_H-M 'R -3 m'
_symmetry_Int_Tables_number 166
_symmetry_space_group_name_Hall '-R 3 2"'
loop_
_atom_site_label
_atom_site_type_symbol
_atom_site_fract_x
_atom_site_fract_y
_atom_site_fract_z
Sm1 Sm 0.0000 0.0000 0.0897
Lu1 Lu 0.0000 0.0000 0.5000
Cd1 Cd 0.0000 0.0000 0.0000
```

Output
Its calculated formation energy is 0.15 eV/atom. The excess energy over the best structure of this formula in the dataset is 276 meV per atom. For the total energy, the calculation gives -42.9 eV/cell. For the magnetization, the calculation gives 0.0 μB per formula unit.

=====

5.
This record from Alexandria describes crystalline LiPrCdSn at its relaxed geometry. The functional is PBE.

Geometry as CIF:
```
data_LiPrCdSn
_cell_length_a 7.412
_cell_length_b 7.412
_cell_length_c 7.412
_cell_angle_alpha 90.00
_cell_angle_beta 90.00
_cell_angle_gamma 90.00
_symmetry_space_group_name_H-M 'F -4 3 m'
_symmetry_Int_Tables_number 216
_symmetry_space_group_name_Hall 'F -4 2 3'
loop_
_atom_site_label
_atom_site_type_symbol
_atom_site_fract_x
_atom_site_fract_y
_atom_site_fract_z
Li1 Li 0.000 0.000 0.000
Pr1 Pr 0.000 0.000 0.500
Cd1 Cd 0.250 0.250 0.250
Sn1 Sn 0.250 0.250 0.750
```

Output
Its calculated formation energy is -0.45 eV/atom. For the total energy, the calculation gives -53.7 eV/cell. For the magnetization, the calculation gives 0.0 μB per formula unit.

=====

6.
This record from Alexandria describes crystalline NdPuIr at its relaxed geometry. The functional is PBE.

Geometry as CIF:
```
data_NdPuIr
_cell_length_a 3.629
_cell_length_b 3.629
_cell_length_c 11.186
_cell_angle_alpha 90.00
_cell_angle_beta 90.00
_cell_angle_gamma 90.00
_symmetry_space_group_name_H-M 'I 4 m m'
_symmetry_Int_Tables_number 107
_symmetry_space_group_name_Hall 'I 4 -2'
loop_
_atom_site_label
_atom_site_type_symbol
_atom_site_fract_x
_atom_site_fract_y
_atom_site_fract_z
Nd1 Nd 0.000 0.000 0.000
Pu1 Pu 0.000 0.000 0.284
Ir1 Ir 0.000 0.000 0.667
```

Output
Its calculated formation energy is -0.29 eV/atom. The excess energy over the best structure of this formula in the dataset is 195 meV per atom. For the total energy, the calculation gives -57.7 eV/cell. For the magnetization, the calculation gives 5.6 μB per formula unit.

=====

Which value of magnetization does entry 6 give?
5.6 μB per formula unit